Compound: TiBeN2F
Source: Alexandria via LeMat-Bulk
Functional: PBE-GGA
Structure: relaxed

Energy above the most stable polymorph in this dataset: 0.0 kJ/mol of formula units
DOS at the Fermi energy: 2.4 states/eV per cell
E_form (uncorrected): -0.602 eV per atom

Cell lengths 3.5445, 3.5445, 3.2827 Å; angles 90.00, 90.00, 90.00 degrees
Closest atoms and distances in Å follow each position.
Space group P4/mmm (No. 123)
Symmetry-distinct sites (fractional):
1 Ti 0.0000 0.0000 0.0000 (multiplicity 1)  8 N 2.42, 4 F 2.51
2 Be 0.5000 0.5000 0.5000 (multiplicity 1)  2 F 1.64, 4 N 1.77
3 N 0.0000 0.5000 0.5000 (multiplicity 2)  2 Be 1.77
4 F 0.5000 0.5000 0.0000 (multiplicity 1)  2 Be 1.64


Compound: NaNdBi2
Source: Alexandria via LeMat-Bulk
Functional: PBE-GGA
Structure: relaxed

Energy above the most stable polymorph in this dataset: 22.8 kJ/mol of formula units
DOS at the Fermi energy: 3.2 states/eV per cell

Cell lengths 3.6305, 3.6305, 9.3397 Å; angles 90.00, 90.00, 90.00 degrees
Closest atoms and distances in Å follow each position.
Space group P4/mmm (No. 123)
Symmetry-distinct sites (fractional):
1 Na 0.0000 0.0000 0.0000 (multiplicity 1)  8 Bi 3.47, 4 Na 3.63
2 Nd 0.0000 0.0000 0.5000 (multiplicity 1)  8 Bi 3.47, 4 Nd 3.63
3 Bi 0.5000 0.5000 0.2495 (multiplicity 2)  4 Na 3.47, 4 Nd 3.47, 4 Bi 3.63


Compound: SrScSb2
Source: Alexandria via LeMat-Bulk
Functional: PBE-GGA
Structure: relaxed

Energy above the most stable polymorph in this dataset: 0.0 kJ/mol of formula units
DOS at the Fermi energy: 6.2 states/eV per cell
E_form (uncorrected): -0.853 eV per atom

Cell lengths 7.5971, 4.4658, 7.8108 Å; angles 90.00, 109.71, 90.00 degrees
Closest atoms and distances in Å follow each position.
Space group C2/m (No. 12)
Symmetry-distinct sites (fractional):
1 Sr 0.0000 0.0000 0.0000 (multiplicity 2)  6 Sb 3.34-3.35
2 Sc 0.0000 0.5000 0.5000 (multiplicity 2)  6 Sb 2.97
3 Sb 0.2352 0.0000 0.7062 (multiplicity 4)  3 Sc 2.97


Compound: V3CoS
Source: Alexandria via LeMat-Bulk
Functional: PBE-GGA
Structure: relaxed

Energy above the most stable polymorph in this dataset: 209.2 kJ/mol of formula units
DOS at the Fermi energy: 4.9 states/eV per cell
E_form (uncorrected): 0.779 eV per atom

Cell lengths 4.3533, 4.3533, 4.3533 Å; angles 90.00, 90.00, 90.00 degrees
Closest atoms and distances in Å follow each position.
Space group Pm-3m (No. 221)
Symmetry-distinct sites (fractional):
1 V 0.0000 0.0000 0.5000 (multiplicity 3)  2 Co 2.18
2 Co 0.0000 0.0000 0.0000 (multiplicity 1)  6 V 2.18
3 S 0.5000 0.5000 0.5000 (multiplicity 1)  12 V 3.08


Compound: KCoRe2Ag
Source: Alexandria via LeMat-Bulk
Functional: PBE-GGA
Structure: relaxed

E: -18.82 eV per cell
DOS at the Fermi energy: 6.5 states/eV per cell

Cell lengths 4.6109, 4.6109, 4.3398 Å; angles 90.00, 90.00, 90.00 degrees
Closest atoms and distances in Å follow each position.
Space group P4/mmm (No. 123)
Symmetry-distinct sites (fractional):
1 K 0.0000 0.0000 0.0000 (multiplicity 1)  2 Co 2.17, 4 Re 2.31
2 Co 0.0000 0.0000 0.5000 (multiplicity 1)  2 K 2.17
3 Re 0.0000 0.5000 0.0000 (multiplicity 2)  2 K 2.31
4 Ag 0.5000 0.5000 0.5000 (multiplicity 1)  8 Re 3.17, 4 Co 3.26


Compound: Er6Ge2TeS3
Source: Alexandria via LeMat-Bulk
Functional: PBE-GGA
Structure: relaxed

DOS at the Fermi energy: 7.1 states/eV per cell
E_form (uncorrected): -1.504 eV per atom

Cell lengths 17.5297, 4.0440, 8.1093 Å; angles 90.00, 102.31, 90.00 degrees
Closest atoms and distances in Å follow each position.
Space group C2/m (No. 12)
Symmetry-distinct sites (fractional):
1 Er 0.0033 0.0000 0.2776 (multiplicity 4)  3 S 2.72-2.87, 1 Ge 2.80, 2 Te 3.02
2 Er 0.1676 0.5000 0.5824 (multiplicity 4)  3 Ge 2.84-2.85, 3 S 2.87-2.89
3 Er 0.1753 0.5000 0.0968 (multiplicity 4)  3 S 2.76-2.90, 2 Ge 2.82, 1 Te 3.01
4 Ge 0.1668 0.0000 0.3340 (multiplicity 4)  6 Er 2.80-2.85
5 Te 0.0000 0.5000 0.0000 (multiplicity 2)  6 Er 3.01-3.02
6 S 0.0000 0.5000 0.5000 (multiplicity 2)  6 Er 2.72-2.87
7 S 0.1633 0.0000 0.8355 (multiplicity 4)  6 Er 2.76-2.90


Compound: Li2InAu3
Source: Alexandria via LeMat-Bulk
Functional: PBE-GGA
Structure: relaxed

Energy above the most stable polymorph in this dataset: 35.6 kJ/mol of formula units
DOS at the Fermi energy: 12.1 states/eV per cell

Cell lengths 5.6663, 9.4087, 16.6649 Å; angles 90.00, 90.00, 90.00 degrees
Closest atoms and distances in Å follow each position.
Space group Fmmm (No. 69)
Symmetry-distinct sites (fractional):
1 Li 0.2440 0.0000 0.0000 (multiplicity 8)  2 Li 2.77-2.90, 4 Au 3.05, 2 In 3.09
2 Li 0.2500 0.2500 0.2500 (multiplicity 8)  2 Li 2.83, 8 Au 3.04-3.12, 4 In 3.10
3 In 0.0000 0.0000 0.3365 (multiplicity 8)  5 Au 2.72-2.84
4 Au 0.0000 0.0000 0.1723 (multiplicity 8)  3 In 2.74-2.84, 2 Au 2.77, 4 Li 3.04
5 Au 0.0000 0.2484 0.0829 (multiplicity 16)  1 In 2.72, 4 Au 2.76-2.83, 2 Li 3.05


Compound: Li7AcF12
Source: Alexandria via LeMat-Bulk
Functional: PBE-GGA
Structure: relaxed

DOS at the Fermi energy: 33.1 states/eV per cell
E_form (uncorrected): -2.831 eV per atom

Cell lengths 7.5870, 7.5870, 7.5870 Å; angles 90.00, 90.00, 90.00 degrees
Closest atoms and distances in Å follow each position.
Space group Im-3 (No. 204)
Symmetry-distinct sites (fractional):
1 Li 0.0000 0.0000 0.5000 (multiplicity 6)  4 F 1.98
2 Li 0.2500 0.2500 0.2500 (multiplicity 8)  6 F 2.03
3 Ac 0.0000 0.0000 0.0000 (multiplicity 2)  12 F 2.63
4 F 0.0000 0.3016 0.1699 (multiplicity 24)  3 Li 1.98-2.03


Compound: LiSbSe3
Source: Alexandria via LeMat-Bulk
Functional: PBE-GGA
Structure: relaxed

Energy above the most stable polymorph in this dataset: 0.0 kJ/mol of formula units
DOS at the Fermi energy: 1.2 states/eV per cell
E_form (uncorrected): -0.410 eV per atom

Cell lengths 5.7159, 5.8000, 9.4349 Å; angles 78.17, 89.29, 88.37 degrees
Closest atoms and distances in Å follow each position.
Space group P-1 (No. 2)
Symmetry-distinct sites (fractional):
1 Li 0.2439 0.0346 0.3853 (multiplicity 2)  3 Se 2.63-2.85
2 Sb 0.2797 0.5115 0.6629 (multiplicity 2)  2 Se 2.55-2.67
3 Se 0.2463 0.9488 0.6706 (multiplicity 2)  1 Sb 2.55, 2 Li 2.63-2.85
4 Se 0.2571 0.5570 0.3521 (multiplicity 2)  2 Sb 2.67-2.89, 2 Li 2.85-2.98, 1 Se 2.95
5 Se 0.4796 0.6456 0.0634 (multiplicity 2)  1 Se 2.27


What is the DOS at the Fermi energy in the sixth record? 7.1 states/eV per cell


DOS at the Fermi energy of number 7 (Li2InAu3)? 12.1 states/eV per cell


What is the DOS at the Fermi energy in the eighth record? 33.1 states/eV per cell